# 1
## BeNiCl2 (SCAN)

Data for a PBEsol-optimized structure of BeNiCl2. Values from VASP.

```
&SYSTEM
  ibrav = 0, nat = 4, ntyp = 3
/
ATOMIC_SPECIES
Ni 58.69 Ni.upf
Be 9.01 Be.upf
Cl 35.45 Cl.upf
CELL_PARAMETERS angstrom
-1.293 -3.937 -1.535
4.146 1.340 -0.740
0.444 0.567 4.361
ATOMIC_POSITIONS crystal
Ni 0.500 0.500 0.500
Be 0.500 0.000 0.000
Cl 0.000 0.500 0.000
Cl 0.000 0.000 0.500
```

* calculated total energy: -0.3339 hartree per atom
* relative energy among the computed polymorphs: 32.9 kJ/mol of atoms



# 2
## CdC2F (SCAN)

Data for a PBEsol-optimized structure of CdC2F. Values from VASP.

```
&SYSTEM
  ibrav = 0, nat = 4, ntyp = 3
/
ATOMIC_SPECIES
C 12.01 C.upf
F 19.00 F.upf
Cd 112.41 Cd.upf
CELL_PARAMETERS angstrom
-3.340 1.413 -1.526
-3.306 -2.123 0.200
-2.924 1.132 2.376
ATOMIC_POSITIONS crystal
C 0.250 0.250 0.250
C 0.750 0.750 0.750
F 0.000 0.000 0.000
Cd 0.500 0.500 0.500
```

* calculated total energy: -0.4127 hartree per atom
* relative energy among the computed polymorphs: 155.0 kJ/mol of atoms



# 3
## Al2CdAs (SCAN)

Data for a PBEsol-optimized structure of Al2CdAs. Values from VASP.

```
&SYSTEM
  ibrav = 0, nat = 8, ntyp = 3
/
ATOMIC_SPECIES
Al 26.98 Al.upf
Cd 112.41 Cd.upf
As 74.92 As.upf
CELL_PARAMETERS angstrom
6.434 0.000 0.000
-3.217 5.772 0.167
0.000 3.428 5.444
ATOMIC_POSITIONS crystal
Al 0.375 0.250 0.153
Al 0.875 0.250 0.597
Al 0.597 0.750 0.375
Al 0.153 0.750 0.875
Cd 0.750 0.500 0.750
Cd 0.000 0.000 0.000
As 0.250 0.500 0.250
As 0.500 0.000 0.500
```

* calculated total energy: -0.6026 hartree per atom
* relative energy among the computed polymorphs: 0.2 kJ/mol of atoms



# 4
## CuTc2 (SCAN)

Data for a PBEsol-optimized structure of CuTc2. Values from VASP.

```
&SYSTEM
  ibrav = 0, nat = 3, ntyp = 2
/
ATOMIC_SPECIES
Tc 98.00 Tc.upf
Cu 63.55 Cu.upf
CELL_PARAMETERS angstrom
-1.138 2.418 0.228
-0.492 0.122 -3.739
-2.679 -2.953 2.159
ATOMIC_POSITIONS crystal
Tc 0.665 0.665 0.331
Tc 0.335 0.335 0.669
Cu 0.000 0.000 0.000
```

* calculated total energy: -1.0419 hartree per atom
* relative energy among the computed polymorphs: 2.7 kJ/mol of atoms



# 5
## BeNiPCl2 (SCAN)

Data for a PBEsol-optimized structure of BeNiPCl2. Values from VASP.

```
&SYSTEM
  ibrav = 0, nat = 5, ntyp = 4
/
ATOMIC_SPECIES
Be 9.01 Be.upf
Cl 35.45 Cl.upf
P 30.97 P.upf
Ni 58.69 Ni.upf
CELL_PARAMETERS angstrom
-3.477 1.654 -1.109
1.063 -0.345 -3.847
-2.314 -4.993 -0.191
ATOMIC_POSITIONS crystal
Be 0.000 0.000 0.000
Cl 0.000 0.500 0.000
Cl 0.500 0.000 0.000
P 0.000 0.000 0.500
Ni 0.500 0.500 0.500
```

* calculated total energy: -0.3347 hartree per atom



# 6
## Mn3O2F4 (SCAN)

Data for a PBEsol-optimized structure of Mn3O2F4. Values from VASP.

```
&SYSTEM
  ibrav = 0, nat = 18, ntyp = 3
/
ATOMIC_SPECIES
O 16.00 O.upf
Mn 54.94 Mn.upf
F 19.00 F.upf
CELL_PARAMETERS angstrom
4.726 0.008 0.003
-0.453 4.704 0.003
-0.005 -0.005 9.251
ATOMIC_POSITIONS crystal
O 0.327 0.327 0.672
O 0.303 0.303 0.001
O 0.673 0.673 0.328
O 0.697 0.697 0.999
Mn 0.500 0.500 0.500
Mn 0.966 0.966 0.331
Mn 0.034 0.034 0.669
Mn 0.000 0.000 0.000
Mn 0.499 0.499 0.843
Mn 0.501 0.501 0.157
F 0.803 0.197 0.500
F 0.719 0.719 0.676
F 0.794 0.184 0.167
F 0.184 0.794 0.167
F 0.206 0.816 0.833
F 0.197 0.803 0.500
F 0.281 0.281 0.324
F 0.816 0.206 0.833
```

* calculated total energy: -0.4274 hartree per atom
* relative energy among the computed polymorphs: 0.9 kJ/mol of atoms



# 7
## NaPb3I (SCAN)

Data for a PBEsol-optimized structure of NaPb3I. Values from VASP.

```
&SYSTEM
  ibrav = 0, nat = 5, ntyp = 3
/
ATOMIC_SPECIES
Na 22.99 Na.upf
Pb 207.20 Pb.upf
I 126.90 I.upf
CELL_PARAMETERS angstrom
5.966 0.000 0.000
0.000 5.966 0.000
0.000 0.000 5.966
ATOMIC_POSITIONS crystal
Na 0.500 0.500 0.500
Pb 0.500 0.000 0.000
Pb 0.000 0.000 0.500
Pb 0.000 0.500 0.000
I 0.000 0.000 0.000
```

* calculated total energy: -1.9542 hartree per atom
* relative energy among the computed polymorphs: 7.3 kJ/mol of atoms



# 8
## WI2NO (SCAN)

Data for a PBEsol-optimized structure of WI2NO. Values from VASP.

```
&SYSTEM
  ibrav = 0, nat = 5, ntyp = 4
/
ATOMIC_SPECIES
O 16.00 O.upf
W 183.84 W.upf
I 126.90 I.upf
N 14.01 N.upf
CELL_PARAMETERS angstrom
3.400 0.000 0.000
0.000 4.805 0.000
0.000 0.000 4.805
ATOMIC_POSITIONS crystal
O 0.500 0.000 0.000
W 0.500 0.500 0.500
I 0.000 0.000 0.500
I 0.000 0.500 0.000
N 0.000 0.000 0.000
```

* calculated total energy: -1.0987 hartree per atom



# 9
## AlTcCl (SCAN)

Data for a PBEsol-optimized structure of AlTcCl. Values from VASP.

```
&SYSTEM
  ibrav = 0, nat = 3, ntyp = 3
/
ATOMIC_SPECIES
Tc 98.00 Tc.upf
Al 26.98 Al.upf
Cl 35.45 Cl.upf
CELL_PARAMETERS angstrom
2.922 0.000 0.000
-1.461 2.531 0.000
0.000 0.000 6.982
ATOMIC_POSITIONS crystal
Tc 0.667 0.333 0.262
Al 0.000 0.000 0.991
Cl 0.333 0.667 0.747
```

* calculated total energy: -0.6250 hartree per atom
* relative energy among the computed polymorphs: 0.0 kJ/mol of atoms



# 10
## Sr3Ga4Ir4 (SCAN)

Data for a PBEsol-optimized structure of Sr3Ga4Ir4. Values from VASP.

```
&SYSTEM
  ibrav = 0, nat = 11, ntyp = 3
/
ATOMIC_SPECIES
Sr 87.62 Sr.upf
Ir 192.22 Ir.upf
Ga 69.72 Ga.upf
CELL_PARAMETERS angstrom
6.681 0.000 0.000
-2.227 6.299 0.000
-2.227 -3.150 5.455
ATOMIC_POSITIONS crystal
Sr 0.500 0.500 0.000
Sr 0.000 0.500 0.500
Sr 0.500 0.000 0.500
Ir 0.000 0.746 0.000
Ir 0.746 0.000 0.000
Ir 0.254 0.254 0.254
Ir 0.000 0.000 0.746
Ga 0.385 0.000 0.000
Ga 0.615 0.615 0.615
Ga 0.000 0.385 0.000
Ga 0.000 0.000 0.385
```

* calculated total energy: -1.4167 hartree per atom



# 11
## MnTc3Ag (SCAN)

Data for a PBEsol-optimized structure of MnTc3Ag. Values from VASP.

```
&SYSTEM
  ibrav = 0, nat = 5, ntyp = 3
/
ATOMIC_SPECIES
Tc 98.00 Tc.upf
Mn 54.94 Mn.upf
Ag 107.87 Ag.upf
CELL_PARAMETERS angstrom
-1.172 3.086 2.818
-2.948 -2.685 1.715
2.963 -1.451 2.821
ATOMIC_POSITIONS crystal
Tc 0.500 0.000 0.000
Tc 0.000 0.000 0.500
Tc 0.000 0.500 0.000
Mn 0.000 0.000 0.000
Ag 0.500 0.500 0.500
```

* calculated total energy: -1.0908 hartree per atom



# 12
## ZrBeIr (SCAN)

Data for a PBEsol-optimized structure of ZrBeIr. Values from VASP.

```
&SYSTEM
  ibrav = 0, nat = 3, ntyp = 3
/
ATOMIC_SPECIES
Be 9.01 Be.upf
Ir 192.22 Ir.upf
Zr 91.22 Zr.upf
CELL_PARAMETERS angstrom
-1.079 -2.112 -1.791
0.102 -1.951 2.239
-4.033 3.260 1.053
ATOMIC_POSITIONS crystal
Be 0.031 0.031 0.063
Ir 0.635 0.635 0.270
Zr 0.334 0.334 0.667
```

* calculated total energy: -1.3263 hartree per atom
* relative energy among the computed polymorphs: 6.9 kJ/mol of atoms



# 13
## LiInSe (SCAN)

Data for a PBEsol-optimized structure of LiInSe. Values from VASP.

```
&SYSTEM
  ibrav = 0, nat = 3, ntyp = 3
/
ATOMIC_SPECIES
Se 78.96 Se.upf
In 114.82 In.upf
Li 6.94 Li.upf
CELL_PARAMETERS angstrom
-0.555 -4.624 -1.235
3.851 -2.680 -1.094
1.441 -3.484 2.999
ATOMIC_POSITIONS crystal
Se 0.500 0.500 0.500
In 0.750 0.750 0.750
Li 0.000 0.000 0.000
```

* calculated total energy: -0.6942 hartree per atom



# 14
## BeZnFe6 (SCAN)

Data for a PBEsol-optimized structure of BeZnFe6. Values from VASP.

```
&SYSTEM
  ibrav = 0, nat = 32, ntyp = 3
/
ATOMIC_SPECIES
Fe 55.84 Fe.upf
Be 9.01 Be.upf
Zn 65.41 Zn.upf
CELL_PARAMETERS angstrom
-2.789 4.688 -2.645
-1.322 -0.554 5.891
7.832 5.968 2.319
ATOMIC_POSITIONS crystal
Fe 0.869 0.615 0.880
Fe 0.863 0.617 0.370
Fe 0.383 0.137 0.630
Fe 0.751 0.249 0.757
Fe 0.500 0.500 0.500
Fe 0.385 0.131 0.120
Fe 0.863 0.617 0.630
Fe 0.000 0.000 0.500
Fe 0.615 0.869 0.880
Fe 0.383 0.137 0.370
Fe 0.617 0.863 0.370
Fe 0.500 0.500 0.000
Fe 0.131 0.385 0.120
Fe 0.137 0.383 0.370
Fe 0.000 0.000 0.000
Fe 0.249 0.751 0.757
Fe 0.615 0.869 0.120
Fe 0.869 0.615 0.120
Fe 0.751 0.249 0.243
Fe 0.137 0.383 0.630
Fe 0.131 0.385 0.880
Fe 0.617 0.863 0.630
Fe 0.385 0.131 0.880
Fe 0.249 0.751 0.243
Be 0.500 0.500 0.244
Be 0.245 0.755 0.000
Be 0.755 0.245 0.000
Be 0.500 0.500 0.756
Zn 0.000 0.000 0.247
Zn 0.000 0.000 0.753
Zn 0.755 0.245 0.500
Zn 0.245 0.755 0.500
```

* calculated total energy: -0.5835 hartree per atom



# 15
## TeOsN2 (SCAN)

Data for a PBEsol-optimized structure of TeOsN2. Values from VASP.

```
&SYSTEM
  ibrav = 0, nat = 8, ntyp = 3
/
ATOMIC_SPECIES
Te 127.60 Te.upf
Os 190.23 Os.upf
N 14.01 N.upf
CELL_PARAMETERS angstrom
5.914 0.000 0.000
2.957 5.121 0.000
2.957 1.707 4.828
ATOMIC_POSITIONS crystal
Te 0.500 0.500 0.500
Te 0.750 0.750 0.750
Os 0.250 0.250 0.250
Os 0.000 0.000 0.000
N 0.125 0.125 0.125
N 0.625 0.125 0.125
N 0.125 0.125 0.625
N 0.125 0.625 0.125
```

* calculated total energy: -1.1432 hartree per atom



# 16
## SrPt4 (SCAN)

Data for a PBEsol-optimized structure of SrPt4. Values from VASP.

```
&SYSTEM
  ibrav = 0, nat = 5, ntyp = 2
/
ATOMIC_SPECIES
Pt 195.08 Pt.upf
Sr 87.62 Sr.upf
CELL_PARAMETERS angstrom
-4.625 -1.829 -1.599
1.190 -2.089 4.638
-0.243 5.199 0.443
ATOMIC_POSITIONS crystal
Pt 0.000 0.000 0.500
Pt 0.500 0.500 0.500
Pt 0.000 0.500 0.000
Pt 0.500 0.000 0.000
Sr 0.000 0.000 0.000
```

* calculated total energy: -2.1833 hartree per atom



# 17
## BaTl2In2 (SCAN)

Data for a PBEsol-optimized structure of BaTl2In2. Values from VASP.

```
&SYSTEM
  ibrav = 0, nat = 5, ntyp = 3
/
ATOMIC_SPECIES
Tl 204.38 Tl.upf
Ba 137.33 Ba.upf
In 114.82 In.upf
CELL_PARAMETERS angstrom
-2.023 4.524 0.052
-0.827 -0.314 -4.877
-4.168 -4.619 3.523
ATOMIC_POSITIONS crystal
Tl 0.616 0.616 0.232
Tl 0.384 0.384 0.768
Ba 0.000 0.000 0.000
In 0.250 0.750 0.500
In 0.750 0.250 0.500
```

* calculated total energy: -1.8596 hartree per atom



# 18
## LiZn4Pt (SCAN)

Data for a PBEsol-optimized structure of LiZn4Pt. Values from VASP.

```
&SYSTEM
  ibrav = 0, nat = 6, ntyp = 3
/
ATOMIC_SPECIES
Zn 65.41 Zn.upf
Li 6.94 Li.upf
Pt 195.08 Pt.upf
CELL_PARAMETERS angstrom
4.895 0.000 0.000
2.447 4.239 0.000
2.447 1.413 3.996
ATOMIC_POSITIONS crystal
Zn 0.875 0.375 0.375
Zn 0.375 0.375 0.875
Zn 0.375 0.875 0.375
Zn 0.375 0.375 0.375
Li 0.750 0.750 0.750
Pt 0.000 0.000 0.000
```

* calculated total energy: -0.7889 hartree per atom



# 19
## TlAg2Ru (SCAN)

Data for a PBEsol-optimized structure of TlAg2Ru. Values from VASP.

```
&SYSTEM
  ibrav = 0, nat = 4, ntyp = 3
/
ATOMIC_SPECIES
Ru 101.07 Ru.upf
Tl 204.38 Tl.upf
Ag 107.87 Ag.upf
CELL_PARAMETERS angstrom
4.575 0.000 0.000
-2.288 3.952 -0.224
0.000 -2.428 3.878
ATOMIC_POSITIONS crystal
Ru 0.000 0.000 0.000
Tl 0.250 0.500 0.750
Ag 0.500 0.000 0.500
Ag 0.750 0.500 0.250
```

* calculated total energy: -1.5432 hartree per atom
* relative energy among the computed polymorphs: 0.0 kJ/mol of atoms



# 20
## LaZn2Co2 (SCAN)

Data for a PBEsol-optimized structure of LaZn2Co2. Values from VASP.

```
&SYSTEM
  ibrav = 0, nat = 5, ntyp = 3
/
ATOMIC_SPECIES
Zn 65.41 Zn.upf
Co 58.93 Co.upf
La 138.91 La.upf
CELL_PARAMETERS angstrom
-0.352 3.376 -2.083
0.615 -2.019 -3.377
-5.155 -1.473 2.290
ATOMIC_POSITIONS crystal
Zn 0.750 0.250 0.500
Zn 0.250 0.750 0.500
Co 0.393 0.393 0.786
Co 0.607 0.607 0.214
La 0.000 0.000 0.000
```

* calculated total energy: -0.7715 hartree per atom